Entry 1:
Density functional theory data (GGA-PBE) for a relaxed structure of KCuMoPt.

Cell: 6.4584 6.4584 6.4584 Å, 90.00 90.00 90.00°
Last column: nearest neighbours and their distance in Å.
Fractional positions:
K 0.0000 0.0000 0.0000  4 Mo 2.80, 4 Cu 2.80
K 0.0000 0.5000 0.5000  4 Mo 2.80, 4 Cu 2.80
K 0.5000 0.0000 0.5000  4 Mo 2.80, 4 Cu 2.80
K 0.5000 0.5000 0.0000  4 Mo 2.80, 4 Cu 2.80
Cu 0.2500 0.2500 0.2500  4 K 2.80, 4 Pt 2.80
Cu 0.2500 0.7500 0.7500  4 K 2.80, 4 Pt 2.80
Cu 0.7500 0.2500 0.7500  4 K 2.80, 4 Pt 2.80
Cu 0.7500 0.7500 0.2500  4 K 2.80, 4 Pt 2.80
Mo 0.2500 0.2500 0.7500  4 K 2.80, 4 Pt 2.80
Mo 0.2500 0.7500 0.2500  4 K 2.80, 4 Pt 2.80
Mo 0.7500 0.2500 0.2500  4 K 2.80, 4 Pt 2.80
Mo 0.7500 0.7500 0.7500  4 Pt 2.80, 4 K 2.80
Pt 0.0000 0.0000 0.5000  4 Cu 2.80, 4 Mo 2.80
Pt 0.0000 0.5000 0.0000  4 Cu 2.80, 4 Mo 2.80
Pt 0.5000 0.0000 0.0000  4 Cu 2.80, 4 Mo 2.80
Pt 0.5000 0.5000 0.5000  4 Cu 2.80, 4 Mo 2.80

Calculated values
SG	F-43m
relative energy among the computed polymorphs	0.0	kJ per mole of atoms

Entry 2:
Density functional theory data (GGA-PBE) for a relaxed structure of DyYCu2B2N2.

Cell: 3.5051 3.5051 7.6990 Å, 90.00 90.00 90.00°
Last column: nearest neighbours and their distance in Å.
Fractional positions:
Dy 0.0000 0.0000 0.0000  5 N 2.33-2.49
Y 0.5000 0.5000 0.3301  5 N 2.34-2.49
Cu 0.0000 0.5000 0.6653  4 B 2.20-2.21
Cu 0.5000 0.0000 0.6653  4 B 2.20-2.21
B 0.0000 0.0000 0.4912  1 N 1.45
B 0.5000 0.5000 0.8390  1 N 1.44
N 0.0000 0.0000 0.3032  1 B 1.45
N 0.5000 0.5000 0.0266  1 B 1.44

Calculated values
SG	P4mm
final energy	-6.952	eV per atom

Entry 3:
Density functional theory data (GGA-PBE) for a relaxed structure of Dy2YAg4Ge4.

Cell: 8.3777 8.3777 8.3777 Å, 149.98 129.68 59.72°
Last column: nearest neighbours and their distance in Å.
Fractional positions:
Dy 0.1262 0.1262 0.0000  6 Ag 3.12-3.29, 6 Ge 3.13-3.15
Dy 0.8738 0.8738 0.0000  6 Ag 3.12-3.29, 6 Ge 3.13-3.15
Y 0.5000 0.0000 0.5000  6 Ge 3.13-3.15
Ag 0.1332 0.3309 0.8023  4 Ge 2.60-2.72, 1 Ag 2.82
Ag 0.4713 0.6691 0.8023  4 Ge 2.60-2.72, 1 Ag 2.82
Ag 0.5287 0.3309 0.1977  4 Ge 2.60-2.72, 1 Ag 2.82
Ag 0.8668 0.6691 0.1977  4 Ge 2.60-2.72, 1 Ag 2.82
Ge 0.1834 0.5000 0.6834  2 Ag 2.60, 1 Ge 2.61
Ge 0.2830 0.7830 0.5000  6 Ag 2.68-2.72
Ge 0.7170 0.2170 0.5000  6 Ag 2.68-2.72
Ge 0.8166 0.5000 0.3166  2 Ag 2.60, 1 Ge 2.61

Calculated values
SG	Immm
final energy	-4.662	eV per atom

Entry 4:
Density functional theory data (GGA-PBE) for a relaxed structure of NdIn3.

Cell: 4.7062 4.7062 4.7062 Å, 90.00 90.00 90.00°
Last column: nearest neighbours and their distance in Å.
Fractional positions:
Nd 0.0000 0.0000 0.0000  12 In 3.33
In 0.0000 0.5000 0.5000  8 In 3.33, 4 Nd 3.33
In 0.5000 0.0000 0.5000  8 In 3.33, 4 Nd 3.33
In 0.5000 0.5000 0.0000  8 In 3.33, 4 Nd 3.33

Calculated values
SG	Pm-3m
final energy	-3.711	eV per atom

Entry 5:
Density functional theory data (GGA-PBE) for a relaxed structure of NaZn4P3.

Cell: 11.0242 11.0242 11.0242 Å, 20.99 20.99 20.99°
Last column: nearest neighbours and their distance in Å.
Fractional positions:
Na 0.0000 0.0000 0.0000  6 P 3.05, 6 Zn 3.33
Zn 0.1987 0.1987 0.1987  4 P 2.38-2.54
Zn 0.4073 0.4073 0.4073  3 P 2.36
Zn 0.5927 0.5927 0.5927  3 P 2.36
Zn 0.8013 0.8013 0.8013  4 P 2.38-2.54
P 0.2722 0.2722 0.2722  4 Zn 2.36-2.38
P 0.5000 0.5000 0.5000  6 Zn 2.54
P 0.7278 0.7278 0.7278  4 Zn 2.36-2.38

Calculated values
SG	R-3m
relative energy among the computed polymorphs	0.0	kJ per mole of atoms

Entry 6:
Density functional theory data (GGA-PBE) for a relaxed structure of ErSc3C2Se2.

Cell: 3.5631 3.5631 12.5417 Å, 90.00 90.00 120.00°
Last column: nearest neighbours and their distance in Å.
Fractional positions:
Er 0.0000 0.0000 0.0000  3 C 2.45
Sc 0.0000 0.0000 0.6909  3 C 2.38
Sc 0.6667 0.3333 0.2026  3 C 2.39
Sc 0.6667 0.3333 0.4995  3 C 2.38
C 0.3333 0.6667 0.1057  3 Sc 2.39, 3 Er 2.45
C 0.3333 0.6667 0.5948  6 Sc 2.38
Se 0.0000 0.0000 0.3509  6 Sc 2.77-2.78
Se 0.6667 0.3333 0.8382  3 Sc 2.76, 3 Er 2.89

Calculated values
SG	P3m1
final energy	-7.281	eV per atom